# Ce2SmMg, relaxed, DFT PBE-GGA
data_Ce2SmMg
_symmetry_space_group_name_H-M 'C 1 m 1'
_symmetry_Int_Tables_number 8
_cell_length_a 5.834
_cell_length_b 3.370
_cell_length_c 11.877
_cell_angle_alpha 90.00
_cell_angle_beta 99.45
_cell_angle_gamma 90.00
loop_
_symmetry_equiv_pos_as_xyz
'x,y,z'
'x,-y,z'
'x+1/2,y+1/2,z'
'x+1/2,-y+1/2,z'
loop_
_atom_site_label
_atom_site_fract_x
_atom_site_fract_y
_atom_site_fract_z
_atom_site_occupancy
Ce1 0.000 0.000 0.000 1
Ce2 0.171 0.000 0.515 1
Sm1 0.251 0.500 0.257 1
Mg1 0.085 0.500 0.758 1
# calculated formation energy: 124 meV per atom
# magnetic moment: 2.8 μB/cell
# N(E_F): 19.7 states/eV/cell